(1)
A PBEsol-optimized structure of KOsBr2, computed with SCAN.

Results
The energy relative to the elements, uncorrected is 0.008 eV/atom. The uncorrected energy comes out at -29.77 eV per atom.

The structure in extended XYZ format:
```
4
Lattice="5.5375 -1.8909 0.0000 5.5375 1.8909 0.0000 -2.4428 0.0000 5.3909" Properties=species:S:1:pos:R:3 pbc="T T T"
K 0.0000 0.0000 0.0000
Os 1.4339 0.0000 2.9764
Br 5.6492 0.0000 3.7773
Br 8.2607 0.0000 2.1101
```

---

(2)
A PBEsol-optimized structure of BePNF2, computed with SCAN.

Results
The energy relative to the elements, uncorrected is -0.051 eV/atom. The uncorrected energy comes out at -6.28 eV per atom.

The structure in extended XYZ format:
```
5
Lattice="4.2006 0.0000 0.0000 0.0000 4.2006 0.0000 0.0000 0.0000 3.2768" Properties=species:S:1:pos:R:3 pbc="T T T"
Be 0.0000 0.0000 0.0000
P 2.1003 2.1003 1.6384
N 2.1003 2.1003 0.0000
F 0.0000 2.1003 1.6384
F 2.1003 0.0000 1.6384
```